Entry 1:
# NaLiHoIn, optimized geometry, DFT PBE
data_NaLiHoIn
_chemical_formula_sum 'Na1 Li1 Ho1 In1'
_cell_length_a 5.218
_cell_length_b 5.218
_cell_length_c 5.218
_cell_angle_alpha 60.00
_cell_angle_beta 60.00
_cell_angle_gamma 60.00
_space_group_name_H-M_alt 'P 1'
_space_group_IT_number 1
loop_
_space_group_symop_operation_xyz
'x,y,z'
loop_
_atom_site_label
_atom_site_type_symbol
_atom_site_fract_x
_atom_site_fract_y
_atom_site_fract_z
Na1 Na 0.250 0.250 0.250
Li1 Li 0.000 0.000 0.000
Ho1 Ho 0.750 0.750 0.750
In1 In 0.500 0.500 0.500
# SG	No. 216
# calculated total energy	-2.7189	eV per atom

=====

Entry 2:
# In2RePt, optimized geometry, DFT PBE
data_In2RePt
_chemical_formula_sum 'In2 Re1 Pt1'
_cell_length_a 9.180
_cell_length_b 9.180
_cell_length_c 9.180
_cell_angle_alpha 19.04
_cell_angle_beta 19.04
_cell_angle_gamma 19.04
_space_group_name_H-M_alt 'P 1'
_space_group_IT_number 1
loop_
_space_group_symop_operation_xyz
'x,y,z'
loop_
_atom_site_label
_atom_site_type_symbol
_atom_site_fract_x
_atom_site_fract_y
_atom_site_fract_z
In1 In 0.000 0.000 0.000
In2 In 0.500 0.500 0.500
Pt1 Pt 0.250 0.250 0.250
Re1 Re 0.750 0.750 0.750
# SG	No. 166
# E above lowest polymorph	92	meV/atom

=====

Entry 3:
# Os2W, optimized geometry, DFT PBE
data_Os2W
_chemical_formula_sum 'Os4 W2'
_cell_length_a 5.097
_cell_length_b 5.097
_cell_length_c 5.097
_cell_angle_alpha 60.00
_cell_angle_beta 60.00
_cell_angle_gamma 60.00
_space_group_name_H-M_alt 'P 1'
_space_group_IT_number 1
loop_
_space_group_symop_operation_xyz
'x,y,z'
loop_
_atom_site_label
_atom_site_type_symbol
_atom_site_fract_x
_atom_site_fract_y
_atom_site_fract_z
Os1 Os 0.625 0.625 0.625
Os2 Os 0.125 0.625 0.625
Os3 Os 0.625 0.125 0.625
Os4 Os 0.625 0.625 0.125
W1 W 0.000 0.000 0.000
W2 W 0.250 0.250 0.250
# SG	No. 227
# E above lowest polymorph	452	meV/atom

=====

Entry 4:
# Ag3Te32Au13, optimized geometry, DFT PBE
data_Ag3Te32Au13
_chemical_formula_sum 'Ag3 Te32 Au13'
_cell_length_a 17.466
_cell_length_b 17.466
_cell_length_c 8.977
_cell_angle_alpha 89.96
_cell_angle_beta 89.96
_cell_angle_gamma 30.17
_space_group_name_H-M_alt 'P 1'
_space_group_IT_number 1
loop_
_space_group_symop_operation_xyz
'x,y,z'
loop_
_atom_site_label
_atom_site_type_symbol
_atom_site_fract_x
_atom_site_fract_y
_atom_site_fract_z
Te1 Te 0.406 0.466 0.361
Te2 Te 0.900 0.972 0.359
Te3 Te 0.534 0.594 0.639
Te4 Te 0.028 0.100 0.641
Te5 Te 0.285 0.344 0.361
Te6 Te 0.777 0.851 0.359
Te7 Te 0.656 0.715 0.639
Te8 Te 0.149 0.223 0.641
Te9 Te 0.596 0.155 0.018
Te10 Te 0.094 0.655 0.008
Te11 Te 0.845 0.404 0.982
Te12 Te 0.345 0.906 0.992
Te13 Te 0.143 0.606 0.616
Te14 Te 0.638 0.112 0.621
Te15 Te 0.394 0.857 0.384
Te16 Te 0.888 0.362 0.379
Te17 Te 0.651 0.343 0.696
Te18 Te 0.154 0.839 0.698
Te19 Te 0.657 0.349 0.304
Te20 Te 0.161 0.846 0.302
Te21 Te 0.412 0.093 0.699
Te22 Te 0.911 0.596 0.699
Te23 Te 0.907 0.588 0.301
Te24 Te 0.404 0.089 0.301
Te25 Te 0.874 0.006 0.965
Te26 Te 0.365 0.514 0.965
Te27 Te 0.994 0.126 0.035
Te28 Te 0.486 0.635 0.035
Te29 Te 0.742 0.879 0.967
Te30 Te 0.242 0.378 0.966
Te31 Te 0.121 0.258 0.033
Te32 Te 0.622 0.758 0.034
Au1 Au 0.390 0.484 0.664
Au2 Au 0.891 0.983 0.663
Au3 Au 0.516 0.610 0.336
Au4 Au 0.017 0.109 0.337
Au5 Au 0.270 0.354 0.665
Au6 Au 0.766 0.859 0.664
Au7 Au 0.646 0.730 0.335
Au8 Au 0.141 0.234 0.336
Au9 Au 0.588 0.163 0.321
Au10 Au 0.837 0.412 0.679
Au11 Au 0.186 0.814 0.000
Au12 Au 0.938 0.564 0.000
Au13 Au 0.436 0.062 0.000
Ag1 Ag 0.071 0.678 0.316
Ag2 Ag 0.322 0.929 0.684
Ag3 Ag 0.697 0.303 0.000
# energy relative to the elements, uncorrected	-0.079	eV per atom
# SG	No. 5

=====

Entry 5:
# Ta3TeRu, optimized geometry, DFT PBE
data_Ta3TeRu
_chemical_formula_sum 'Ta3 Te1 Ru1'
_cell_length_a 4.907
_cell_length_b 4.907
_cell_length_c 4.907
_cell_angle_alpha 90.00
_cell_angle_beta 90.00
_cell_angle_gamma 90.00
_space_group_name_H-M_alt 'P 1'
_space_group_IT_number 1
loop_
_space_group_symop_operation_xyz
'x,y,z'
loop_
_atom_site_label
_atom_site_type_symbol
_atom_site_fract_x
_atom_site_fract_y
_atom_site_fract_z
Ru1 Ru 0.500 0.500 0.500
Te1 Te 0.000 0.000 0.000
Ta1 Ta 0.000 0.500 0.000
Ta2 Ta 0.000 0.000 0.500
Ta3 Ta 0.500 0.000 0.000
# energy relative to the elements, uncorrected	2.133	eV per atom
# SG	No. 221
# E above lowest polymorph	1147	meV/atom

=====

Entry 6:
# RbCdSnAu3, optimized geometry, DFT PBE
data_RbCdSnAu3
_chemical_formula_sum 'Rb2 Cd2 Sn2 Au6'
_cell_length_a 7.706
_cell_length_b 7.037
_cell_length_c 7.666
_cell_angle_alpha 117.32
_cell_angle_beta 90.00
_cell_angle_gamma 90.00
_space_group_name_H-M_alt 'P 1'
_space_group_IT_number 1
loop_
_space_group_symop_operation_xyz
'x,y,z'
loop_
_atom_site_label
_atom_site_type_symbol
_atom_site_fract_x
_atom_site_fract_y
_atom_site_fract_z
Rb1 Rb 0.750 0.275 0.549
Rb2 Rb 0.250 0.725 0.451
Cd1 Cd 0.250 0.010 0.021
Cd2 Cd 0.750 0.990 0.979
Sn1 Sn 0.250 0.409 0.819
Sn2 Sn 0.750 0.591 0.181
Au1 Au 0.250 0.213 0.426
Au2 Au 0.000 0.283 0.000
Au3 Au 0.500 0.717 0.000
Au4 Au 0.500 0.283 0.000
Au5 Au 0.000 0.717 0.000
Au6 Au 0.750 0.787 0.574
# SG	No. 63
# calculated total energy	-2.7850	eV per atom

=====

Entry 7:
# ZrHg2BiF, optimized geometry, DFT PBE
data_ZrHg2BiF
_chemical_formula_sum 'Zr1 Hg2 Bi1 F1'
_cell_length_a 5.309
_cell_length_b 4.241
_cell_length_c 5.309
_cell_angle_alpha 90.00
_cell_angle_beta 90.00
_cell_angle_gamma 90.00
_space_group_name_H-M_alt 'P 1'
_space_group_IT_number 1
loop_
_space_group_symop_operation_xyz
'x,y,z'
loop_
_atom_site_label
_atom_site_type_symbol
_atom_site_fract_x
_atom_site_fract_y
_atom_site_fract_z
F1 F 0.000 0.000 0.000
Bi1 Bi 0.500 0.500 0.500
Zr1 Zr 0.000 0.500 0.000
Hg1 Hg 0.000 0.000 0.500
Hg2 Hg 0.500 0.000 0.000
# energy relative to the elements, uncorrected	-0.440	eV per atom
# SG	No. 123

=====

Entry 8:
# Zn2AgCl, optimized geometry, DFT PBE
data_Zn2AgCl
_chemical_formula_sum 'Zn2 Ag1 Cl1'
_cell_length_a 6.411
_cell_length_b 4.947
_cell_length_c 3.223
_cell_angle_alpha 90.29
_cell_angle_beta 59.29
_cell_angle_gamma 118.79
_space_group_name_H-M_alt 'P 1'
_space_group_IT_number 1
loop_
_space_group_symop_operation_xyz
'x,y,z'
loop_
_atom_site_label
_atom_site_type_symbol
_atom_site_fract_x
_atom_site_fract_y
_atom_site_fract_z
Ag1 Ag 0.000 0.500 0.500
Cl1 Cl 0.500 0.500 0.000
Zn1 Zn 0.000 0.000 0.000
Zn2 Zn 0.500 0.000 0.500
# energy relative to the elements, uncorrected	-0.030	eV per atom
# SG	No. 12
# E above lowest polymorph	142	meV/atom

=====

Number 1: DOS at the Fermi energy 3.73 states/eV/cell. Number 2: DOS at the Fermi energy 3.38 states/eV/cell. Number 3: DOS at the Fermi energy 6.69 states/eV/cell. Number 4: DOS at the Fermi energy 9.97 states/eV/cell. Number 5: DOS at the Fermi energy 7.32 states/eV/cell. Number 6: DOS at the Fermi energy 2.86 states/eV/cell. Number 7: DOS at the Fermi energy 2.40 states/eV/cell. Number 8: DOS at the Fermi energy 0.43 states/eV/cell.